(1)
## Na2Ag2Sb2Pb (GGA-PBE)

Data for a relaxed Na2Ag2Sb2Pb crystal.

- E: -21.52 eV/f.u.
- Calculated volume: 26.7 A^3/atom
- Formation energy (no corrections): -0.18 eV per atom

```
Na2Ag2Sb2Pb
1.0
4.896 0.000 0.000
2.448 4.240 0.000
2.448 1.413 9.000
Na Ag Sb Pb
2 2 2 1
Direct
0.133 0.133 0.601 Na
0.867 0.867 0.399 Na
0.598 0.598 0.206 Ag
0.402 0.402 0.794 Ag
0.744 0.744 0.769 Sb
0.256 0.256 0.231 Sb
0.000 0.000 0.000 Pb
```

=====

(2)
## BiIrS2 (GGA-PBE)

Data for a relaxed BiIrS2 crystal.

- E: -21.05 eV/f.u.
- Calculated volume: 25.3 A^3/atom
- Formation energy (no corrections): -0.01 eV per atom

```
BiIrS2
1.0
6.762 0.000 0.766
2.141 6.875 -1.937
-2.141 6.875 1.937
S Ir Bi
4 2 2
Direct
0.090 0.224 0.992 S
0.410 0.492 0.724 S
0.910 0.776 0.008 S
0.590 0.508 0.276 S
0.750 0.268 0.768 Ir
0.250 0.732 0.232 Ir
0.750 0.980 0.480 Bi
0.250 0.020 0.520 Bi
```

=====

(3)
## NdBeSiPt2 (GGA-PBE)

Data for a relaxed NdBeSiPt2 crystal.

- E: -30.71 eV/f.u.
- Calculated volume: 17.6 A^3/atom
- Formation energy (no corrections): -0.94 eV per atom

```
NdBeSiPt2
1.0
-2.267 3.422 0.829
-3.438 -1.939 -1.400
1.943 -2.464 4.906
Nd Be Si Pt
1 1 1 2
Direct
0.000 0.000 0.000 Nd
0.750 0.250 0.500 Be
0.250 0.750 0.500 Si
0.635 0.635 0.271 Pt
0.365 0.365 0.729 Pt
```

=====

(4)
## CsTlSbPb2 (GGA-PBE)

Data for a relaxed CsTlSbPb2 crystal.

- E: -15.39 eV/f.u.
- Calculated volume: 39.2 A^3/atom
- Formation energy (no corrections): -0.13 eV per atom

```
CsTlSbPb2
1.0
-1.353 1.209 -5.159
-0.938 -5.295 -0.994
-5.098 2.808 4.894
Cs Tl Sb Pb
1 1 1 2
Direct
0.000 0.000 0.000 Cs
0.750 0.250 0.500 Tl
0.250 0.750 0.500 Sb
0.625 0.625 0.251 Pb
0.375 0.375 0.749 Pb
```